PBE ScTcSe, relaxed; calculated volume = 17.54 A^3/atom; ΔE to the lowest computed polymorph = 0 meV/atom; DOS at the Fermi energy = 3.55 states/eV per cell
1.0
-0.741 -2.435 -3.455
4.021 1.066 1.051
0.232 -2.715 1.863
Sc Se Tc
1 1 1
Cartesian
0.232 -2.714 1.862 Sc
2.550 -1.458 0.481 Se
0.963 -2.626 -1.021 Tc

---

PBE Sc2TcSe, relaxed; calculated volume = 19.71 A^3/atom; calculated total energy = -54.46 eV per cell; DOS at the Fermi energy = 8.27 states/eV per cell
1.0
-0.466 -4.311 5.664
5.610 -3.715 -2.367
4.475 -2.145 3.227
Sc Tc Se
4 2 2
Cartesian
1.524 -3.742 4.112 Sc
4.572 -3.351 -0.026 Sc
5.225 -4.579 3.682 Sc
7.919 -8.672 5.279 Sc
0.000 0.000 0.000 Tc
3.291 -5.235 5.269 Tc
2.572 -4.013 1.648 Se
6.329 -4.937 1.254 Se

---

PBE Sc3TcSe, relaxed; calculated volume = 23.20 A^3/atom; ΔE to the lowest computed polymorph = 141 meV/atom; DOS at the Fermi energy = 3.45 states/eV per cell
1.0
4.877 0.000 0.000
0.000 4.877 0.000
0.000 0.000 4.877
Sc Tc Se
3 1 1
Cartesian
0.000 2.438 0.000 Sc
0.000 0.000 2.438 Sc
2.438 0.000 0.000 Sc
2.438 2.438 2.438 Tc
0.000 0.000 0.000 Se

---

Copy entry 2 word for word.
PBE Sc2TcSe, relaxed; calculated volume = 19.71 A^3/atom; calculated total energy = -54.46 eV per cell; DOS at the Fermi energy = 8.27 states/eV per cell
1.0
-0.466 -4.311 5.664
5.610 -3.715 -2.367
4.475 -2.145 3.227
Sc Tc Se
4 2 2
Cartesian
1.524 -3.742 4.112 Sc
4.572 -3.351 -0.026 Sc
5.225 -4.579 3.682 Sc
7.919 -8.672 5.279 Sc
0.000 0.000 0.000 Tc
3.291 -5.235 5.269 Tc
2.572 -4.013 1.648 Se
6.329 -4.937 1.254 Se